Here is crystalline CaNdY at its relaxed geometry from Alexandria via LeMat-Bulk. Energies are from GGA-PBE.

```
CaNdY
1.0
3.623 0.000 0.000
0.000 3.672 0.147
-1.811 -0.653 16.433
Ca Nd Y
2 2 2
direct
0.950 0.749 0.899 Ca
0.050 0.251 0.101 Ca
0.635 0.751 0.271 Nd
0.365 0.249 0.729 Nd
0.789 0.750 0.578 Y
0.211 0.250 0.422 Y
```

energy relative to the elements: 0.06 eV per atom
excess energy over the best structure of this formula in the dataset: 0.028 eV/atom

=====

Here is crystalline KAcPr2Se4 at its relaxed geometry from Alexandria via LeMat-Bulk. Energies are from GGA-PBE.

```
KAcPr2Se4
1.0
4.335 0.000 0.000
0.000 7.720 -0.239
0.000 2.633 7.077
K Ac Pr Se
1 1 2 4
direct
0.000 0.500 0.500 K
0.500 0.500 0.000 Ac
0.000 0.000 0.000 Pr
0.500 0.000 0.500 Pr
0.000 0.762 0.748 Se
0.000 0.238 0.252 Se
0.500 0.768 0.238 Se
0.500 0.232 0.762 Se
```

formation energy from raw total energies: -1.792 eV per atom

=====

Here is crystalline Ni2OsCl at its relaxed geometry from Alexandria via LeMat-Bulk. Energies are from GGA-PBE.

```
Ni2OsCl
1.0
5.750 0.007 0.024
-2.252 4.033 -0.009
1.246 0.703 2.279
Cl Ni Os
1 2 1
direct
0.500 0.500 0.000 Cl
0.000 0.000 0.000 Ni
0.500 0.000 0.500 Ni
0.000 0.500 0.500 Os
```

formation energy from raw total energies: 0.748 eV per atom
excess energy over the best structure of this formula in the dataset: 0.478 eV/atom

=====

Here is crystalline La3CeEr6 at its relaxed geometry from Alexandria via LeMat-Bulk. Energies are from GGA-PBE.

```
La3CeEr6
1.0
8.721 0.000 4.628
3.132 8.139 4.628
2.246 1.542 6.298
La Ce Er
3 1 6
direct
0.403 0.403 0.791 La
0.651 0.651 0.048 La
0.120 0.120 0.640 La
0.886 0.886 0.342 Ce
0.910 0.584 0.274 Er
0.232 0.910 0.274 Er
0.584 0.232 0.274 Er
0.075 0.406 0.785 Er
0.734 0.075 0.785 Er
0.406 0.734 0.785 Er
```

energy relative to the elements: 0.28 eV per atom

=====

Here is crystalline Mo2RuBr at its relaxed geometry from Alexandria via LeMat-Bulk. Energies are from GGA-PBE.

```
Mo2RuBr
1.0
-2.779 2.780 -1.183
-1.961 -2.144 -0.432
-2.856 -0.796 4.838
Ru Mo Br
1 2 1
direct
0.500 0.250 0.250 Ru
0.000 0.919 0.021 Mo
0.000 0.581 0.479 Mo
0.500 0.750 0.750 Br
```

formation energy from raw total energies: 0.662 eV per atom
excess energy over the best structure of this formula in the dataset: 0.252 eV/atom

=====

Here is crystalline Ca2MgAu at its relaxed geometry from Alexandria via LeMat-Bulk. Energies are from GGA-PBE.

```
Ca2MgAu
1.0
-0.868 -2.249 -3.014
1.191 -4.266 2.841
-4.987 -0.291 1.654
Au Ca Mg
1 2 1
direct
0.500 0.000 0.500 Au
0.000 0.000 0.000 Ca
0.000 0.500 0.500 Ca
0.500 0.500 0.000 Mg
```

energy relative to the elements: -0.39 eV per atom

=====

Here is crystalline Y8Tl2In at its relaxed geometry from Alexandria via LeMat-Bulk. Energies are from GGA-PBE.

```
Y8Tl2In
1.0
5.553 -0.286 -0.430
-1.317 8.508 -0.548
-1.317 -3.782 7.640
Y Tl In
8 2 1
direct
0.884 0.904 0.673 Y
0.884 0.673 0.904 Y
0.300 0.604 0.604 Y
0.500 0.783 0.217 Y
0.500 0.217 0.783 Y
0.700 0.396 0.396 Y
0.116 0.327 0.096 Y
0.116 0.096 0.327 Y
0.000 0.304 0.696 Tl
0.000 0.696 0.304 Tl
0.500 0.000 0.000 In
```

energy relative to the elements: -0.13 eV per atom
excess energy over the best structure of this formula in the dataset: 0.108 eV/atom

=====

Here is crystalline DyTm5In2 at its relaxed geometry from Alexandria via LeMat-Bulk. Energies are from GGA-PBE.

```
DyTm5In2
1.0
-3.237 -1.164 -0.716
-3.028 -1.573 7.622
-4.684 6.719 1.630
Dy Tm In
1 5 2
direct
0.000 0.000 0.000 Dy
0.000 0.500 0.500 Tm
0.633 0.595 0.138 Tm
0.367 0.405 0.862 Tm
0.367 0.862 0.405 Tm
0.633 0.138 0.595 Tm
0.741 0.759 0.759 In
0.259 0.241 0.241 In
```

energy relative to the elements: -0.17 eV per atom

=====

Here is crystalline Ac8CoRh2 at its relaxed geometry from Alexandria via LeMat-Bulk. Energies are from GGA-PBE.

```
Ac8CoRh2
1.0
4.029 0.000 -0.856
-0.132 9.599 -0.620
0.067 0.067 10.225
Ac Co Rh
8 1 2
direct
0.597 0.543 0.195 Ac
0.350 0.037 0.701 Ac
0.225 0.330 0.451 Ac
0.989 0.801 0.978 Ac
0.775 0.670 0.549 Ac
0.650 0.963 0.299 Ac
0.403 0.457 0.805 Ac
0.011 0.199 0.022 Ac
0.500 0.000 0.000 Co
0.163 0.731 0.326 Rh
0.837 0.269 0.674 Rh
```

energy relative to the elements: -0.30 eV per atom

=====

Here is crystalline TlRe2Sb at its relaxed geometry from Alexandria via LeMat-Bulk. Energies are from GGA-PBE.

```
TlRe2Sb
1.0
3.087 0.007 0.000
-1.456 2.722 0.000
0.000 0.000 9.036
Re Sb Tl
2 1 1
direct
0.000 0.000 0.016 Re
0.000 0.000 0.484 Re
0.500 0.500 0.250 Sb
0.500 0.500 0.750 Tl
```

formation energy from raw total energies: 1.119 eV per atom
excess energy over the best structure of this formula in the dataset: 0.738 eV/atom

=====

Here is crystalline TiBePt at its relaxed geometry from Alexandria via LeMat-Bulk. Energies are from GGA-PBE.

```
TiBePt
1.0
4.221 0.000 0.000
-2.110 3.656 0.000
0.000 0.000 5.141
Ti Be Pt
2 2 2
direct
0.000 0.500 0.000 Ti
0.000 0.500 0.500 Ti
0.333 0.167 0.750 Be
0.667 0.833 0.250 Be
0.667 0.833 0.750 Pt
0.333 0.167 0.250 Pt
```

energy relative to the elements: -0.75 eV per atom
excess energy over the best structure of this formula in the dataset: 0.000 eV/atom

=====

Here is crystalline TbCe5Se8 at its relaxed geometry from Alexandria via LeMat-Bulk. Energies are from GGA-PBE.

```
TbCe5Se8
1.0
2.375 -3.798 -6.255
4.202 -2.141 6.079
-7.411 -1.630 1.273
Tb Ce Se
1 5 8
direct
0.250 0.500 0.750 Tb
0.999 0.375 0.124 Ce
0.876 0.875 0.250 Ce
0.750 0.625 0.624 Ce
0.500 0.000 0.500 Ce
0.376 0.125 0.001 Ce
0.128 0.747 0.022 Se
0.978 0.105 0.725 Se
0.779 0.250 0.377 Se
0.623 0.402 0.874 Se
0.471 0.598 0.221 Se
0.619 0.895 0.872 Se
0.275 0.253 0.381 Se
0.126 0.750 0.529 Se
```

formation energy from raw total energies: -1.837 eV per atom

=====

Copy entry 6 word for word.
Here is crystalline Ca2MgAu at its relaxed geometry from Alexandria via LeMat-Bulk. Energies are from GGA-PBE.

```
Ca2MgAu
1.0
-0.868 -2.249 -3.014
1.191 -4.266 2.841
-4.987 -0.291 1.654
Au Ca Mg
1 2 1
direct
0.500 0.000 0.500 Au
0.000 0.000 0.000 Ca
0.000 0.500 0.500 Ca
0.500 0.500 0.000 Mg
```

energy relative to the elements: -0.39 eV per atom